[1]
VASP calculation (PBE-GGA) on an optimized crystal structure of BiPd2Se2.

abc: 6.4791 6.4791 6.4791
angles: 141.07 141.07 56.23
Sites, in units of the cell vectors:
Bi 0.0000 0.0000 0.0000
Pd 0.2500 0.7500 0.5000
Pd 0.7500 0.2500 0.5000
Se 0.3741 0.3741 0.0000
Se 0.6259 0.6259 0.0000

* density of states at the Fermi level: 3.8 states/eV/f.u.
* formation energy (no corrections): -23 meV per atom
* size of the total moment: 0.0 μB per cell
* energy above the lowest structure with this stoichiometry: 0.87 eV per formula unit
* electronic total energy: -4.270 eV/atom



[2]
VASP calculation (PBE-GGA) on an optimized crystal structure of Mn2TcHg.

abc: 4.4542 4.4542 4.4542
angles: 60.00 60.00 60.00
Sites, in units of the cell vectors:
Mn 0.0000 0.0000 0.0000
Mn 0.2500 0.2500 0.2500
Tc 0.7500 0.7500 0.7500
Hg 0.5000 0.5000 0.5000

* energy of formation: 0.515 eV per atom
* density of states at the Fermi level: 3.2 states/eV/f.u.
* size of the total moment: 5.1 μB per cell
* electronic total energy: -6.737 eV/atom



[3]
VASP calculation (PBE-GGA) on an optimized crystal structure of RbCuSn2.

abc: 9.5950 9.5950 9.5950
angles: 144.29 144.29 51.39
Sites, in units of the cell vectors:
Rb 0.3750 0.6250 0.7500
Rb 0.6250 0.3750 0.2500
Cu 0.1250 0.8750 0.2500
Cu 0.8750 0.1250 0.7500
Sn 0.0000 0.0000 0.0000
Sn 0.0000 0.0000 0.5000
Sn 0.0000 0.5000 0.0000
Sn 0.5000 0.0000 0.5000

* energy of formation: 0.121 eV per atom
* density of states at the Fermi level: 3.1 states/eV/f.u.
* size of the total moment: 0.0 μB per cell
* electronic total energy: -3.147 eV/atom



[4]
VASP calculation (PBE-GGA) on an optimized crystal structure of GaNiPd14.

abc: 9.0716 5.5349 5.5349
angles: 60.80 90.00 90.00
Sites, in units of the cell vectors:
Ga 0.0000 0.0000 0.0000
Ni 0.0000 0.4997 0.4997
Pd 0.0000 0.0054 0.5055
Pd 0.0000 0.5055 0.0054
Pd 0.2383 0.3244 0.8251
Pd 0.2383 0.8251 0.3244
Pd 0.2486 0.3279 0.3279
Pd 0.2494 0.8270 0.8270
Pd 0.5000 0.1556 0.1556
Pd 0.5000 0.1568 0.6568
Pd 0.5000 0.6550 0.6550
Pd 0.5000 0.6568 0.1568
Pd 0.7514 0.3279 0.3279
Pd 0.7506 0.8270 0.8270
Pd 0.7617 0.3244 0.8251
Pd 0.7617 0.8251 0.3244

* energy of formation: -0.092 eV per atom
* density of states at the Fermi level: 30.7 states/eV/f.u.
* size of the total moment: 3.0 μB per cell
* electronic total energy: -5.186 eV/atom



[5]
VASP calculation (PBE-GGA) on an optimized crystal structure of Al3GeW2.

abc: 4.8632 4.8724 13.4366
angles: 89.76 89.33 60.07
Sites, in units of the cell vectors:
Al 0.0000 0.0000 0.0000
Al 0.0054 0.4574 0.6651
Al 0.0243 0.9961 0.5000
Al 0.0829 0.6697 0.3347
Al 0.4196 0.9964 0.3341
Al 0.4678 0.9895 0.8354
Al 0.6720 0.6644 0.0006
Al 0.6850 0.6718 0.4991
Al 0.9880 0.4436 0.1677
Ge 0.1240 0.6602 0.8354
Ge 0.6602 0.1017 0.1677
Ge 0.6755 0.1146 0.6649
W 0.3285 0.7635 0.1664
W 0.3365 0.3325 0.0013
W 0.3455 0.7776 0.6700
W 0.3541 0.3352 0.4992
W 0.7499 0.3350 0.3343
W 0.7883 0.3300 0.8308

* energy of formation: -0.108 eV per atom
* density of states at the Fermi level: 1.4 states/eV/f.u.
* size of the total moment: 0.0 μB per cell
* electronic total energy: -7.066 eV/atom



[6]
VASP calculation (PBE-GGA) on an optimized crystal structure of ScTlSb2.

abc: 3.4327 3.4327 9.4477
angles: 90.00 90.00 100.14
Sites, in units of the cell vectors:
Sc 0.0000 0.0000 0.0000
Tl 0.0000 0.0000 0.5000
Sb 0.5000 0.5000 0.2101
Sb 0.5000 0.5000 0.7899

* density of states at the Fermi level: 2.2 states/eV/f.u.
* formation energy (no corrections): -357 meV per atom
* size of the total moment: 0.0 μB per cell
* energy above the lowest structure with this stoichiometry: 0.02 eV per formula unit
* electronic total energy: -4.592 eV/atom